# 1
Nd2Ni4Sn3Sb: optimized geometry, GGA-PBE.

abc: 4.481 4.481 10.080
angles: 90.00 90.00 90.00
Space group P-4m2 (No. 115)
Asymmetric unit:
Nd 0.000 0.500 0.239 (multiplicity 2)
Ni 0.000 0.000 0.000 (multiplicity 1)
Ni 0.000 0.500 0.624 (multiplicity 2)
Ni 0.500 0.500 0.000 (multiplicity 1)
Sn 0.000 0.500 0.875 (multiplicity 2)
Sn 0.500 0.500 0.500 (multiplicity 1)
Sb 0.000 0.000 0.500 (multiplicity 1)

The uncorrected formation energy is -0.54 eV per atom. For the total energy, the calculation gives -0.3984 Ry per atom.



# 2
ZrNi2Hg: optimized geometry, GGA-PBE.

abc: 3.777 4.011 8.452
angles: 90.00 90.00 90.00
Space group Imm2 (No. 44)
Asymmetric unit:
Zr 0.000 0.000 0.000 (multiplicity 2)
Ni 0.000 0.000 0.509 (multiplicity 2)
Ni 0.000 0.500 0.249 (multiplicity 2)
Hg 0.000 0.500 0.756 (multiplicity 2)

Its formation energy is -0.12 eV/atom. For the total energy, the calculation gives -0.3839 Ry per atom.



# 3
Pr12HoEr3: optimized geometry, GGA-PBE.

abc: 5.181 5.181 20.667
angles: 90.00 90.00 90.00
Space group P4/mmm (No. 123)
Asymmetric unit:
Pr 0.000 0.000 0.000 (multiplicity 1)
Pr 0.000 0.000 0.250 (multiplicity 2)
Pr 0.000 0.000 0.500 (multiplicity 1)
Pr 0.000 0.500 0.125 (multiplicity 4)
Pr 0.000 0.500 0.375 (multiplicity 4)
Ho 0.500 0.500 0.000 (multiplicity 1)
Er 0.500 0.500 0.250 (multiplicity 2)
Er 0.500 0.500 0.500 (multiplicity 1)

Its formation energy is 0.01 eV/atom. For the total energy, the calculation gives -0.3465 Ry per atom.



# 4
K2NaLiCl4: optimized geometry, GGA-PBE.

abc: 11.834 11.794 8.349
angles: 90.00 134.79 90.00
Space group C2/c (No. 15)
Asymmetric unit:
K 0.000 0.000 0.000 (multiplicity 4)
K 0.250 0.250 0.000 (multiplicity 4)
Na 0.250 0.250 0.500 (multiplicity 4)
Li 0.000 0.500 0.000 (multiplicity 4)
Cl 0.000 0.268 0.018 (multiplicity 8)
Cl 0.221 0.491 0.472 (multiplicity 8)

The uncorrected formation energy is -1.83 eV per atom. For the total energy, the calculation gives -0.2524 Ry per atom.



# 5
CeTh2PdN4: optimized geometry, GGA-PBE.

abc: 3.564 11.911 12.146
angles: 90.00 90.00 90.00
Space group Cmcm (No. 63)
Asymmetric unit:
Ce 0.000 0.110 0.250 (multiplicity 4)
Th 0.000 0.370 0.060 (multiplicity 8)
Pd 0.000 0.157 0.750 (multiplicity 4)
N 0.000 0.000 0.000 (multiplicity 4)
N 0.000 0.276 0.611 (multiplicity 8)
N 0.000 0.483 0.250 (multiplicity 4)

The uncorrected formation energy is -1.18 eV per atom. For the total energy, the calculation gives -0.6312 Ry per atom.



# 6
CsAg5Cl7: optimized geometry, GGA-PBE.

abc: 4.279 23.459 6.858
angles: 90.00 102.36 90.00
Space group P2_1/m (No. 11)
Asymmetric unit:
Cs 0.129 0.250 0.375 (multiplicity 2)
Ag 0.000 0.000 0.000 (multiplicity 2)
Ag 0.304 0.568 0.579 (multiplicity 4)
Ag 0.383 0.142 0.881 (multiplicity 4)
Cl 0.094 0.104 0.152 (multiplicity 4)
Cl 0.257 0.656 0.375 (multiplicity 4)
Cl 0.341 0.030 0.729 (multiplicity 4)
Cl 0.452 0.250 0.975 (multiplicity 2)

The uncorrected formation energy is -0.67 eV per atom. For the total energy, the calculation gives -0.2075 Ry per atom.



# 7
Ac4IrAuI2: optimized geometry, GGA-PBE.

abc: 7.843 4.499 9.011
angles: 90.00 106.89 90.00
Space group P2/m (No. 10)
Asymmetric unit:
Ac 0.216 0.000 0.185 (multiplicity 2)
Ac 0.253 0.500 0.813 (multiplicity 2)
Ir 0.000 0.500 0.000 (multiplicity 1)
Au 0.500 0.000 0.000 (multiplicity 1)
I 0.000 0.000 0.500 (multiplicity 1)
I 0.500 0.500 0.500 (multiplicity 1)

The uncorrected formation energy is -1.01 eV per atom. For the total energy, the calculation gives -0.3655 Ry per atom.



# 8
Sm2AuN: optimized geometry, GGA-PBE.

abc: 3.6530 3.6530 22.0529
angles: 90.00 90.00 120.00
Space group R-3m (No. 166, hexagonal axes)
Asymmetric unit:
Sm 0.0000 0.0000 0.2296 (multiplicity 6)
Au 0.0000 0.0000 0.0000 (multiplicity 3)
N 0.0000 0.0000 0.5000 (multiplicity 3)

The uncorrected formation energy is -0.98 eV per atom. For the total energy, the calculation gives -0.4586 Ry per atom.



# 9
CaNdPd: optimized geometry, GGA-PBE.

abc: 14.901 4.008 8.604
angles: 90.00 90.00 90.00
Space group Pmma (No. 51)
Asymmetric unit:
Ca 0.120 0.000 0.063 (multiplicity 4)
Ca 0.250 0.000 0.707 (multiplicity 2)
Nd 0.042 0.500 0.688 (multiplicity 4)
Nd 0.250 0.500 0.353 (multiplicity 2)
Pd 0.097 0.000 0.438 (multiplicity 4)
Pd 0.250 0.500 0.968 (multiplicity 2)

The value obtained for the energy above the most stable polymorph in this dataset is 0 meV/atom. Its formation energy is -0.51 eV/atom. For the total energy, the calculation gives -0.3308 Ry per atom.



# 10
Pm2Ho5Tm: optimized geometry, GGA-PBE.

abc: 6.649 8.782 9.526
angles: 88.95 85.80 68.04
Space group P-1 (No. 2)
Asymmetric unit:
Pm 0.130 0.112 0.071 (multiplicity 2)
Pm 0.241 0.891 0.571 (multiplicity 2)
Ho 0.158 0.673 0.252 (multiplicity 2)
Ho 0.186 0.257 0.388 (multiplicity 2)
Ho 0.202 0.482 0.911 (multiplicity 2)
Ho 0.320 0.484 0.595 (multiplicity 2)
Ho 0.443 0.744 0.884 (multiplicity 2)
Tm 0.444 0.121 0.752 (multiplicity 2)

The value obtained for the energy above the most stable polymorph in this dataset is 133 meV/atom. Its formation energy is 0.15 eV/atom. For the total energy, the calculation gives -0.3274 Ry per atom.



# 11
Cs2RbHgF: optimized geometry, GGA-PBE.

abc: 5.817 5.817 7.998
angles: 90.00 90.00 90.00
Space group P4/mmm (No. 123)
Asymmetric unit:
Cs 0.000 0.500 0.000 (multiplicity 2)
Rb 0.000 0.000 0.500 (multiplicity 1)
Hg 0.500 0.500 0.500 (multiplicity 1)
F 0.500 0.500 0.000 (multiplicity 1)

The value obtained for the energy above the most stable polymorph in this dataset is 78 meV/atom. The uncorrected formation energy is -1.02 eV per atom. For the total energy, the calculation gives -0.1463 Ry per atom.



# 12
Er2TeIr: optimized geometry, GGA-PBE.

abc: 3.583 3.583 7.311
angles: 90.00 90.00 90.00
Space group P4/mmm (No. 123)
Asymmetric unit:
Er 0.000 0.000 0.220 (multiplicity 2)
Te 0.500 0.500 0.500 (multiplicity 1)
Ir 0.500 0.500 0.000 (multiplicity 1)

The value obtained for the energy above the most stable polymorph in this dataset is 116 meV/atom. The uncorrected formation energy is -0.91 eV per atom. For the total energy, the calculation gives -0.4548 Ry per atom.